Entry 1:
Material: Na3I
Method: DFT, PBE
State: optimized geometry

Output
- Energy: -1.86 eV/atom
- Crystal system: orthorhombic
- Magnetic moment: 0.000 μB/cell
- Excess energy over the best structure of this formula in the dataset: 0.000 eV/atom
- Formation energy without anion corrections: -0.480 eV per atom

a = 4.3372 Å, b = 4.3666 Å, c = 8.2478 Å
α = 90.00°, β = 90.00°, γ = 90.00°
Element x y z (fractional)
Na (0.0000, 0.0000, 0.0000)
Na (0.0000, 0.5000, 0.3432)
Na (0.5000, 0.5000, 0.7877)
I (0.5000, 0.0000, 0.4687)

Entry 2:
Material: Ce6Mg23Sb
Method: DFT, PBE
State: optimized geometry

Output
- Energy: -2.63 eV/atom
- Crystal system: cubic
- Magnetic moment: 6.592 μB/cell
- Formation energy without anion corrections: -0.088 eV per atom

a = 10.2610 Å, b = 10.2610 Å, c = 10.2610 Å
α = 60.00°, β = 60.00°, γ = 60.00°
Element x y z (fractional)
Ce (0.2161, 0.2161, 0.7839)
Ce (0.2161, 0.7839, 0.2161)
Ce (0.2161, 0.7839, 0.7839)
Ce (0.7839, 0.2161, 0.2161)
Ce (0.7839, 0.2161, 0.7839)
Ce (0.7839, 0.7839, 0.2161)
Mg (0.0000, 0.0000, 0.5000)
Mg (0.0000, 0.5000, 0.0000)
Mg (0.0000, 0.5000, 0.5000)
Mg (0.1324, 0.6225, 0.6225)
Mg (0.1683, 0.1683, 0.1683)
Mg (0.1683, 0.1683, 0.4952)
Mg (0.1683, 0.4952, 0.1683)
Mg (0.3775, 0.3775, 0.3775)
Mg (0.3775, 0.3775, 0.8676)
Mg (0.3775, 0.8676, 0.3775)
Mg (0.4952, 0.1683, 0.1683)
Mg (0.5000, 0.0000, 0.0000)
Mg (0.5000, 0.0000, 0.5000)
Mg (0.5000, 0.5000, 0.0000)
Mg (0.5000, 0.5000, 0.5000)
Mg (0.5048, 0.8317, 0.8317)
Mg (0.6225, 0.1324, 0.6225)
Mg (0.6225, 0.6225, 0.1324)
Mg (0.6225, 0.6225, 0.6225)
Mg (0.8317, 0.5048, 0.8317)
Mg (0.8317, 0.8317, 0.5048)
Mg (0.8317, 0.8317, 0.8317)
Mg (0.8676, 0.3775, 0.3775)
Sb (0.0000, 0.0000, 0.0000)